(1)
# Pu3TlGe GGA-PBE relaxed
# **Total moment**: 52.34 μB per cell
# **DFT formation energy**: -0.10 eV per atom
# **V**: 25.82 Å³/atom
# **Total energy**: -10.092 eV/atom
data_Pu3TlGe
_symmetry_space_group_name_H-M 'P m -3 m'
_symmetry_Int_Tables_number 221
_symmetry_space_group_name_Hall '-P 4 2 3'
_cell_length_a 7.289
_cell_length_b 7.289
_cell_length_c 7.289
_cell_angle_alpha 90.00
_cell_angle_beta 90.00
_cell_angle_gamma 90.00
loop_
_atom_site_label
_atom_site_type_symbol
_atom_site_fract_x
_atom_site_fract_y
_atom_site_fract_z
Pu1 Pu 0.000 0.000 0.000
Pu2 Pu 0.277 0.277 0.277
Tl1 Tl 0.000 0.000 0.500
Ge1 Ge 0.000 0.500 0.500


(2)
# TcBI2 GGA-PBE relaxed
# **E above lowest polymorph**: 0 meV per atom
# **Total moment**: 3.51 μB per cell
# **V**: 24.68 Å³/atom
# **Total energy**: -3.568 eV/atom
# **Formation energy without anion corrections**: 1.468 eV per atom
data_TcBI2
_symmetry_space_group_name_H-M 'I -4 2 d'
_symmetry_Int_Tables_number 122
_symmetry_space_group_name_Hall 'I -4 2bw'
_cell_length_a 5.833
_cell_length_b 5.833
_cell_length_c 11.608
_cell_angle_alpha 90.00
_cell_angle_beta 90.00
_cell_angle_gamma 90.00
loop_
_atom_site_label
_atom_site_type_symbol
_atom_site_fract_x
_atom_site_fract_y
_atom_site_fract_z
Tc1 Tc 0.000 0.000 0.000
B1 B 0.000 0.000 0.500
I1 I 0.230 0.250 0.625


(3)
# KNaCaTl GGA-PBE relaxed
# **Total moment**: 2.49 μB per cell
# **DFT formation energy**: -0.02 eV per atom
# **V**: 36.67 Å³/atom
# **Total energy**: -1.713 eV/atom
data_KNaCaTl
_symmetry_space_group_name_H-M 'F -4 3 m'
_symmetry_Int_Tables_number 216
_symmetry_space_group_name_Hall 'F -4 2 3'
_cell_length_a 8.372
_cell_length_b 8.372
_cell_length_c 8.372
_cell_angle_alpha 90.00
_cell_angle_beta 90.00
_cell_angle_gamma 90.00
loop_
_atom_site_label
_atom_site_type_symbol
_atom_site_fract_x
_atom_site_fract_y
_atom_site_fract_z
K1 K 0.000 0.000 0.000
Na1 Na 0.250 0.250 0.250
Ca1 Ca 0.000 0.000 0.500
Tl1 Tl 0.250 0.250 0.750


(4)
# KAsPtSe2 GGA-PBE relaxed
# **E above lowest polymorph**: 1857 meV per atom
# **Total moment**: 0.00 μB per cell
# **V**: 31.56 Å³/atom
# **Total energy**: -1.997 eV/atom
# **Formation energy without anion corrections**: 1.754 eV per atom
data_KAsPtSe2
_symmetry_space_group_name_H-M 'P 4/m m m'
_symmetry_Int_Tables_number 123
_symmetry_space_group_name_Hall '-P 4 2'
_cell_length_a 5.446
_cell_length_b 5.446
_cell_length_c 5.321
_cell_angle_alpha 90.00
_cell_angle_beta 90.00
_cell_angle_gamma 90.00
loop_
_atom_site_label
_atom_site_type_symbol
_atom_site_fract_x
_atom_site_fract_y
_atom_site_fract_z
K1 K 0.000 0.000 0.000
As1 As 0.000 0.000 0.500
Pt1 Pt 0.500 0.500 0.500
Se1 Se 0.000 0.500 0.000


(5)
# V2IrRu5 GGA-PBE relaxed
# **Total moment**: 0.00 μB per cell
# **DFT formation energy**: -0.22 eV per atom
# **V**: 13.83 Å³/atom
# **Total energy**: -9.407 eV/atom
data_V2IrRu5
_symmetry_space_group_name_H-M 'C 1 m 1'
_symmetry_Int_Tables_number 8
_symmetry_space_group_name_Hall 'C -2y'
_cell_length_a 8.646
_cell_length_b 5.474
_cell_length_c 6.351
_cell_angle_alpha 90.00
_cell_angle_beta 132.59
_cell_angle_gamma 90.00
loop_
_atom_site_label
_atom_site_type_symbol
_atom_site_fract_x
_atom_site_fract_y
_atom_site_fract_z
V1 V 0.000 0.000 0.000
V2 V 0.060 0.500 0.642
Ir1 Ir 0.489 0.000 0.988
Ru1 Ru 0.072 0.000 0.657
Ru2 Ru 0.242 0.251 0.499
Ru3 Ru 0.318 0.251 0.146


(6)
# Cr4SbRh GGA-PBE relaxed
# **Total moment**: 0.00 μB per cell
# **V**: 13.53 Å³/atom
# **Total energy**: -8.095 eV/atom
# **Formation energy without anion corrections**: 0.233 eV per atom
data_Cr4SbRh
_symmetry_space_group_name_H-M 'F -4 3 m'
_symmetry_Int_Tables_number 216
_symmetry_space_group_name_Hall 'F -4 2 3'
_cell_length_a 6.873
_cell_length_b 6.873
_cell_length_c 6.873
_cell_angle_alpha 90.00
_cell_angle_beta 90.00
_cell_angle_gamma 90.00
loop_
_atom_site_label
_atom_site_type_symbol
_atom_site_fract_x
_atom_site_fract_y
_atom_site_fract_z
Cr1 Cr 0.124 0.124 0.376
Sb1 Sb 0.250 0.250 0.750
Rh1 Rh 0.000 0.000 0.000


(7)
# HgMoAu2 GGA-PBE relaxed
# **Total moment**: 0.00 μB per cell
# **DFT formation energy**: 0.21 eV per atom
# **V**: 18.26 Å³/atom
# **Total energy**: -4.210 eV/atom
data_HgMoAu2
_symmetry_space_group_name_H-M 'P 4/m m m'
_symmetry_Int_Tables_number 123
_symmetry_space_group_name_Hall '-P 4 2'
_cell_length_a 2.921
_cell_length_b 2.921
_cell_length_c 8.562
_cell_angle_alpha 90.00
_cell_angle_beta 90.00
_cell_angle_gamma 90.00
loop_
_atom_site_label
_atom_site_type_symbol
_atom_site_fract_x
_atom_site_fract_y
_atom_site_fract_z
Hg1 Hg 0.000 0.000 0.000
Mo1 Mo 0.000 0.000 0.500
Au1 Au 0.500 0.500 0.271


(8)
# Zr2Sc3TaN6 GGA-PBE relaxed
# **Total moment**: 0.00 μB per cell
# **V**: 11.58 Å³/atom
# **Total energy**: -9.886 eV/atom
# **Formation energy without anion corrections**: -1.728 eV per atom
data_Zr2Sc3TaN6
_symmetry_space_group_name_H-M 'C 1 2/m 1'
_symmetry_Int_Tables_number 12
_symmetry_space_group_name_Hall '-C 2y'
_cell_length_a 5.529
_cell_length_b 9.570
_cell_length_c 5.569
_cell_angle_alpha 90.00
_cell_angle_beta 109.40
_cell_angle_gamma 90.00
loop_
_atom_site_label
_atom_site_type_symbol
_atom_site_fract_x
_atom_site_fract_y
_atom_site_fract_z
Zr1 Zr 0.000 0.167 0.000
Sc1 Sc 0.000 0.000 0.500
Sc2 Sc 0.000 0.333 0.500
Ta1 Ta 0.000 0.500 0.000
N1 N 0.241 0.500 0.750
N2 N 0.246 0.338 0.249


(9)
# Sr2YCo GGA-PBE relaxed
# **E above lowest polymorph**: 484 meV per atom
# **Total moment**: 0.20 μB per cell
# **DFT formation energy**: 0.61 eV per atom
# **V**: 29.48 Å³/atom
# **Total energy**: -3.623 eV/atom
data_Sr2YCo
_symmetry_space_group_name_H-M 'I -4 m 2'
_symmetry_Int_Tables_number 119
_symmetry_space_group_name_Hall 'I -4 -2'
_cell_length_a 5.500
_cell_length_b 5.500
_cell_length_c 7.797
_cell_angle_alpha 90.00
_cell_angle_beta 90.00
_cell_angle_gamma 90.00
loop_
_atom_site_label
_atom_site_type_symbol
_atom_site_fract_x
_atom_site_fract_y
_atom_site_fract_z
Sr1 Sr 0.000 0.000 0.000
Sr2 Sr 0.000 0.500 0.250
Y1 Y 0.000 0.500 0.750
Co1 Co 0.000 0.000 0.500


(10)
# Tb4TeAu GGA-PBE relaxed
# **E above lowest polymorph**: 79 meV per atom
# **Total moment**: 0.00 μB per cell
# **V**: 29.92 Å³/atom
# **Total energy**: -4.814 eV/atom
# **Formation energy without anion corrections**: -0.657 eV per atom
data_Tb4TeAu
_symmetry_space_group_name_H-M 'P 1 21/m 1'
_symmetry_Int_Tables_number 11
_symmetry_space_group_name_Hall '-P 2yb'
_cell_length_a 6.785
_cell_length_b 6.769
_cell_length_c 7.827
_cell_angle_alpha 90.00
_cell_angle_beta 92.72
_cell_angle_gamma 90.00
loop_
_atom_site_label
_atom_site_type_symbol
_atom_site_fract_x
_atom_site_fract_y
_atom_site_fract_z
Tb1 Tb 0.089 0.250 0.082
Tb2 Tb 0.089 0.750 0.379
Tb3 Tb 0.387 0.501 0.776
Te1 Te 0.313 0.250 0.438
Au1 Au 0.307 0.750 0.067


(11)
# BaNiS GGA-PBE relaxed
# **Total moment**: 0.00 μB per cell
# **V**: 26.11 Å³/atom
# **Total energy**: -4.942 eV/atom
# **Formation energy without anion corrections**: -0.998 eV per atom
data_BaNiS
_symmetry_space_group_name_H-M 'C 1 m 1'
_symmetry_Int_Tables_number 8
_symmetry_space_group_name_Hall 'C -2y'
_cell_length_a 11.406
_cell_length_b 4.942
_cell_length_c 7.074
_cell_angle_alpha 90.00
_cell_angle_beta 128.21
_cell_angle_gamma 90.00
loop_
_atom_site_label
_atom_site_type_symbol
_atom_site_fract_x
_atom_site_fract_y
_atom_site_fract_z
Ba1 Ba 0.000 0.000 0.000
Ba2 Ba 0.001 0.500 0.501
Ni1 Ni 0.250 0.250 0.499
S1 S 0.250 0.000 0.756
S2 S 0.250 0.500 0.243


(12)
# CaPmTlPt GGA-PBE relaxed
# **Total moment**: 0.00 μB per cell
# **DFT formation energy**: -0.63 eV per atom
# **V**: 25.26 Å³/atom
# **Total energy**: -4.423 eV/atom
data_CaPmTlPt
_symmetry_space_group_name_H-M 'F -4 3 m'
_symmetry_Int_Tables_number 216
_symmetry_space_group_name_Hall 'F -4 2 3'
_cell_length_a 7.393
_cell_length_b 7.393
_cell_length_c 7.393
_cell_angle_alpha 90.00
_cell_angle_beta 90.00
_cell_angle_gamma 90.00
loop_
_atom_site_label
_atom_site_type_symbol
_atom_site_fract_x
_atom_site_fract_y
_atom_site_fract_z
Ca1 Ca 0.000 0.000 0.000
Pm1 Pm 0.000 0.000 0.500
Tl1 Tl 0.250 0.250 0.250
Pt1 Pt 0.250 0.250 0.750